YHgF6 | PBE | relaxed

```
data_YHgF6
_space_group_name_H-M_alt 'P -1'
_space_group_IT_number 2
_space_group_name_Hall '-P 1'
_cell_length_a 3.883
_cell_length_b 5.616
_cell_length_c 6.174
_cell_angle_alpha 94.42
_cell_angle_beta 107.36
_cell_angle_gamma 103.77
loop_
_atom_site_label
_atom_site_fract_x
_atom_site_fract_y
_atom_site_fract_z
Y1 0.000 0.000 0.000
Hg1 0.000 0.500 0.500
F1 0.067 0.758 0.273
F2 0.277 0.272 0.367
F3 0.386 0.777 0.916
```

Summary:
* E_form (uncorrected): -2.5409 eV per atom